Entry 1:
Compound: Ba2Al4Zn3Si
Source: Alexandria
Functional: PBE-GGA
Structure: relaxed Values from VASP.

```
&SYSTEM
  ibrav = 0, nat = 10, ntyp = 4
/
ATOMIC_SPECIES
Ba 137.33 Ba.upf
Al 26.98 Al.upf
Zn 65.41 Zn.upf
Si 28.09 Si.upf
CELL_PARAMETERS angstrom
4.481 0.000 0.000
0.000 4.481 0.000
0.000 0.000 11.187
ATOMIC_POSITIONS angstrom
Ba 0.000 2.241 2.726
Ba 2.241 0.000 8.461
Al 0.000 0.000 5.593
Al 0.000 2.241 9.788
Al 2.241 0.000 1.399
Al 2.241 2.241 5.593
Zn 0.000 0.000 0.000
Zn 0.000 2.241 7.088
Zn 2.241 0.000 4.098
Si 2.241 2.241 0.000
```

***

Entry 2:
Compound: Ba2AlZn4Si3
Source: Alexandria
Functional: PBE-GGA
Structure: relaxed Values from VASP.

```
&SYSTEM
  ibrav = 0, nat = 10, ntyp = 4
/
ATOMIC_SPECIES
Ba 137.33 Ba.upf
Al 26.98 Al.upf
Zn 65.41 Zn.upf
Si 28.09 Si.upf
CELL_PARAMETERS angstrom
4.418 0.000 0.000
0.000 4.418 0.000
0.000 0.000 10.874
ATOMIC_POSITIONS angstrom
Ba 0.000 2.209 2.639
Ba 2.209 0.000 8.235
Al 0.000 0.000 5.437
Zn 0.000 0.000 0.000
Zn 0.000 2.209 6.897
Zn 2.209 0.000 3.977
Zn 2.209 2.209 0.000
Si 0.000 2.209 9.487
Si 2.209 0.000 1.388
Si 2.209 2.209 5.437
```

***

Entry 3:
Compound: BaSmAl
Source: Alexandria
Functional: PBE-GGA
Structure: relaxed Values from VASP.

```
&SYSTEM
  ibrav = 0, nat = 6, ntyp = 3
/
ATOMIC_SPECIES
Ba 137.33 Ba.upf
Sm 150.36 Sm.upf
Al 26.98 Al.upf
CELL_PARAMETERS angstrom
3.937 0.000 0.000
0.000 3.937 0.000
0.000 0.000 13.825
ATOMIC_POSITIONS angstrom
Ba 0.000 0.000 0.000
Ba 1.969 1.969 6.913
Sm 0.000 0.000 3.717
Sm 1.969 1.969 10.630
Al 0.000 0.000 9.226
Al 1.969 1.969 2.313
```

Computed properties:
Energy of formation from the pure elements, eV/atom: -0.063

***

Entry 4:
Compound: BaSm2Al
Source: Alexandria
Functional: PBE-GGA
Structure: relaxed Values from VASP.

```
&SYSTEM
  ibrav = 0, nat = 12, ntyp = 3
/
ATOMIC_SPECIES
Ba 137.33 Ba.upf
Sm 150.36 Sm.upf
Al 26.98 Al.upf
CELL_PARAMETERS angstrom
3.734 0.000 0.000
-1.867 3.234 0.000
0.000 0.000 35.510
ATOMIC_POSITIONS angstrom
Ba 0.000 0.000 0.000
Ba 0.000 2.156 23.674
Ba 1.867 1.078 11.837
Sm 0.000 0.000 3.740
Sm 0.000 0.000 31.771
Sm 0.000 2.156 19.934
Sm 0.000 2.156 27.413
Sm 1.867 1.078 8.097
Sm 1.867 1.078 15.576
Al 0.000 0.000 17.755
Al 0.000 2.156 5.918
Al 1.867 1.078 29.592
```

Computed properties:
Polymorph energy (0 for the lowest one), meV per atom: 176
Energy of formation from the pure elements, eV/atom: 0.114

***

Entry 5:
Compound: Ba3SmAl8
Source: Alexandria
Functional: PBE-GGA
Structure: relaxed Values from VASP.

```
&SYSTEM
  ibrav = 0, nat = 12, ntyp = 3
/
ATOMIC_SPECIES
Ba 137.33 Ba.upf
Sm 150.36 Sm.upf
Al 26.98 Al.upf
CELL_PARAMETERS angstrom
2.967 1.713 9.670
-2.967 1.713 9.670
0.000 -3.426 9.670
ATOMIC_POSITIONS angstrom
Ba 0.000 0.000 0.000
Ba 0.000 0.000 3.572
Ba 0.000 0.000 18.133
Sm 0.000 0.000 14.508
Al 0.000 -1.708 6.549
Al -1.479 0.854 6.549
Al -1.463 -0.844 11.559
Al 0.000 0.000 9.075
Al 1.479 0.854 6.549
Al 1.463 -0.844 11.559
Al 0.000 1.689 11.559
Al 0.000 0.000 23.550
```

Computed properties:
Energy of formation from the pure elements, eV/atom: -0.238

***

Entry 6:
Compound: BaSmAl4
Source: Alexandria
Functional: PBE-GGA
Structure: relaxed Values from VASP.

```
&SYSTEM
  ibrav = 0, nat = 6, ntyp = 3
/
ATOMIC_SPECIES
Ba 137.33 Ba.upf
Sm 150.36 Sm.upf
Al 26.98 Al.upf
CELL_PARAMETERS angstrom
0.000 4.118 4.118
4.118 0.000 4.118
4.118 4.118 0.000
ATOMIC_POSITIONS angstrom
Ba 0.000 0.000 0.000
Sm 6.176 6.176 6.176
Al 3.093 3.093 3.093
Al 5.142 5.142 3.093
Al 5.142 3.093 5.142
Al 3.093 5.142 5.142
```

Computed properties:
Energy of formation from the pure elements, eV/atom: -0.291

***

Entry 7:
Compound: BaSm2Al
Source: Alexandria
Functional: PBE-GGA
Structure: relaxed Values from VASP.

```
&SYSTEM
  ibrav = 0, nat = 4, ntyp = 3
/
ATOMIC_SPECIES
Ba 137.33 Ba.upf
Sm 150.36 Sm.upf
Al 26.98 Al.upf
CELL_PARAMETERS angstrom
3.750 0.000 0.000
0.000 3.750 0.000
0.000 0.000 9.885
ATOMIC_POSITIONS angstrom
Ba 0.000 0.000 0.000
Sm 1.875 1.875 3.187
Sm 1.875 1.875 6.698
Al 0.000 0.000 4.942
```

Computed properties:
Polymorph energy (0 for the lowest one), meV per atom: 0
Energy of formation from the pure elements, eV/atom: -0.062

***

Entry 8:
Compound: Ba2SmAlTe5
Source: Alexandria
Functional: PBE-GGA
Structure: relaxed Values from VASP.

```
&SYSTEM
  ibrav = 0, nat = 18, ntyp = 4
/
ATOMIC_SPECIES
Ba 137.33 Ba.upf
Sm 150.36 Sm.upf
Al 26.98 Al.upf
Te 127.60 Te.upf
CELL_PARAMETERS angstrom
2.266 -10.289 0.000
2.266 10.289 0.000
0.000 0.000 14.393
ATOMIC_POSITIONS angstrom
Ba 2.266 7.789 7.196
Ba 2.266 7.746 2.027
Ba 2.266 -7.746 9.224
Ba 2.266 -7.789 0.000
Sm 2.266 6.085 12.095
Sm 2.266 -6.085 4.898
Al 2.266 1.277 3.450
Al 2.266 -1.277 10.646
Te 2.266 9.387 12.153
Te 2.266 4.179 7.012
Te 2.266 3.841 2.642
Te 2.266 3.039 11.822
Te 2.266 0.009 1.185
Te 2.266 -0.009 8.381
Te 2.266 -3.039 4.626
Te 2.266 -3.841 9.839
Te 2.266 -4.179 14.208
Te 2.266 -9.387 4.957
```

***

| no. | total energy (eV/cell) |
| --- | --- |
| 1 | -30.41 |
| 2 | -31.64 |
| 3 | -21.15 |
| 4 | -43.94 |
| 5 | -43.29 |
| 6 | -23.36 |
| 7 | -15.35 |
| 8 | -80.21 |